Entry 1:
Computed, not measured: a relaxed structure of Pr6CoOs2Cl3 at the PBE level of DFT.

uncorrected formation energy	-0.76	eV/atom
total DFT energy (no corrections)	-6.072	eV/atom

a b c (Å): 7.049 7.049 8.015
angles (deg): 98.44 98.44 119.99
Element x y z (fractional)
Pr  0.931  0.602  0.794
Pr  0.740  0.740  0.206
Pr  0.069  0.398  0.206
Pr  0.602  0.931  0.794
Pr  0.260  0.260  0.794
Pr  0.398  0.069  0.206
Co  0.000  0.000  0.000
Os  0.334  0.666  0.000
Os  0.666  0.334  0.000
Cl  0.168  0.832  0.500
Cl  0.832  0.168  0.500
Cl  0.500  0.500  0.500

***

Entry 2:
Computed, not measured: a relaxed structure of PIrOs4 at the PBE level of DFT.

DFT formation energy	1.176	eV per atom
total DFT energy (no corrections)	-8.689	eV/atom

a b c (Å): 5.134 5.134 5.134
angles (deg): 60.00 60.00 60.00
Element x y z (fractional)
P  0.250  0.250  0.250
Ir  0.000  0.000  0.000
Os  0.626  0.626  0.123
Os  0.626  0.123  0.626
Os  0.626  0.626  0.626
Os  0.123  0.626  0.626

***

Entry 3:
Computed, not measured: a relaxed structure of Ag2HgPS4 at the PBE level of DFT.

uncorrected formation energy	-0.04	eV/atom
total DFT energy (no corrections)	-3.529	eV/atom

a b c (Å): 5.645 5.647 7.228
angles (deg): 112.91 113.24 90.02
Element x y z (fractional)
Ag  0.488  0.985  0.972
Ag  0.236  0.236  0.472
Hg  0.985  0.484  0.972
P  0.735  0.736  0.472
S  0.615  0.643  0.678
S  0.829  0.409  0.266
S  0.436  0.859  0.265
S  0.064  0.036  0.678

***

Entry 4:
Computed, not measured: a relaxed structure of PrEr2Th3As6 at the PBE level of DFT.

DFT formation energy	-1.453	eV per atom
total DFT energy (no corrections)	-6.791	eV/atom

a b c (Å): 7.307 7.307 7.253
angles (deg): 99.69 99.69 119.93
Element x y z (fractional)
Pr  0.000  0.000  0.000
Er  0.333  0.667  0.000
Er  0.667  0.333  0.000
Th  0.165  0.835  0.500
Th  0.835  0.165  0.500
Th  0.500  0.500  0.500
As  0.918  0.577  0.754
As  0.739  0.739  0.243
As  0.082  0.423  0.246
As  0.577  0.918  0.754
As  0.261  0.261  0.757
As  0.423  0.082  0.246

***

Entry 5:
Computed, not measured: a relaxed structure of La2YSi at the PBE level of DFT.

uncorrected formation energy	-0.22	eV/atom
total DFT energy (no corrections)	-5.652	eV/atom

a b c (Å): 5.961 5.961 5.961
angles (deg): 133.26 133.26 68.25
Element x y z (fractional)
La  0.000  0.000  0.000
La  0.250  0.750  0.500
Si  0.500  0.500  0.000
Y  0.750  0.250  0.500

***

Entry 6:
Computed, not measured: a relaxed structure of CaBe2Mo at the PBE level of DFT.

DFT formation energy	0.902	eV per atom
total DFT energy (no corrections)	-4.170	eV/atom

a b c (Å): 4.352 4.352 8.808
angles (deg): 75.70 75.70 90.00
Last column: magnetic moment on the atom in μB.
Element x y z (fractional)
Be  0.875  0.125  0.250  0.01
Be  0.875  0.625  0.250  0.01
Be  0.375  0.125  0.750  0.01
Be  0.875  0.125  0.750  0.00
Mo  0.000  0.000  0.000  1.12
Mo  0.750  0.250  0.500  1.12
Ca  0.500  0.500  0.000  0.07
Ca  0.250  0.750  0.500  0.07

***

Entry 7:
Computed, not measured: a relaxed structure of Nd7YEr4 at the PBE level of DFT.

DFT formation energy	0.005	eV per atom
total DFT energy (no corrections)	-4.836	eV/atom

a b c (Å): 7.287 6.321 11.563
angles (deg): 79.53 50.95 90.00
Element x y z (fractional)
Nd  0.744  0.501  0.002
Nd  0.256  0.499  0.998
Nd  0.084  0.280  0.665
Nd  0.916  0.720  0.335
Nd  0.335  0.778  0.665
Nd  0.500  0.000  0.000
Nd  0.665  0.222  0.335
Y  0.000  0.000  0.000
Er  0.413  0.723  0.334
Er  0.587  0.277  0.666
Er  0.835  0.781  0.664
Er  0.165  0.219  0.336

***

Entry 8:
Computed, not measured: a relaxed structure of ScMoW2 at the PBE level of DFT.

DFT formation energy	0.273	eV per atom
total DFT energy (no corrections)	-10.495	eV/atom

a b c (Å): 4.620 4.620 3.145
angles (deg): 90.00 90.00 90.00
Element x y z (fractional)
Mo  0.500  0.000  0.500
Sc  0.000  0.500  0.500
W  0.000  0.000  0.000
W  0.500  0.500  0.000

***

| no. | volume (Å³ per cell) |
| --- | --- |
| 1 | 330 |
| 2 | 96 |
| 3 | 192 |
| 4 | 316 |
| 5 | 110 |
| 6 | 156 |
| 7 | 402 |
| 8 | 67 |